The following is a PBE+U calculation of crystalline LaCrBrO4 at its relaxed geometry, from Alexandria.

Computed properties:
* E_tot: -95.7 eV for the cell shown
* size of the total moment: 0.000 μB/f.u.
* calculated density: 4.2 g/cm3

abc: 6.481 6.481 6.972
angles: 101.50 101.50 70.47
Sites, in units of the cell vectors:
La1 0.234 0.234 0.132
La2 0.766 0.766 0.868
Cr1 0.363 0.363 0.738
Cr2 0.637 0.637 0.262
Br1 0.021 0.021 0.755
Br2 0.979 0.979 0.245
O1 0.140 0.493 0.857
O2 0.290 0.290 0.500
O3 0.479 0.479 0.234
O4 0.493 0.140 0.857
O5 0.507 0.860 0.143
O6 0.521 0.521 0.766
O7 0.710 0.710 0.500
O8 0.860 0.507 0.143